# 1
5
Lattice="-2.159 -4.553 -1.631 2.844 0.249 -4.461 3.912 -2.694 2.343" Properties=species:S:1:pos:R:3 comment="CsTc3Hg PBE optimized geometry" dos_at_fermi_per_ev_cell=3.7 polymorph_energy_mev_per_atom=0 formation_energy_ev_per_atom=2.30 dft_energy_ev_per_atom=-4.149 crystal_system=cubic m_tot_mub_per_cell=9.76 pbc="T T T"
Tc -1.080 -2.276 -0.815
Tc 1.422 0.124 -2.231
Tc 1.956 -1.347 1.172
Hg 0.000 0.000 0.000
Cs 2.298 -3.499 -1.874

=====

# 2
5
Lattice="-4.577 0.488 -1.787 0.163 -4.639 -1.683 -1.845 -1.619 4.284" Properties=species:S:1:pos:R:3 comment="CsTc3Hg PBE optimized geometry" dos_at_fermi_per_ev_cell=4.9 polymorph_energy_mev_per_atom=689 formation_energy_ev_per_atom=2.99 dft_energy_ev_per_atom=-3.460 crystal_system=cubic m_tot_mub_per_cell=4.66 pbc="T T T"
Tc 0.081 -2.320 -0.841
Tc -2.289 0.244 -0.894
Tc -0.923 -0.809 2.142
Hg -3.130 -2.885 0.407
Cs 0.000 0.000 0.000

=====

# 3
10
Lattice="4.744 0.208 -0.353 -1.643 7.859 -3.779 -0.652 -0.355 10.726" Properties=species:S:1:pos:R:3 comment="CsHg5Te4 PBE optimized geometry" dos_at_fermi_per_ev_cell=1.3 polymorph_energy_mev_per_atom=0 dft_energy_ev_per_atom=-1.728 crystal_system=triclinic m_tot_mub_per_cell=0.00 pbc="T T T"
Hg -0.348 3.431 7.969
Hg 2.525 5.465 3.800
Hg -0.076 2.247 2.794
Hg 2.046 -0.073 5.187
Hg 2.797 4.281 -1.375
Te -1.335 7.322 -0.608
Te 0.225 4.095 5.119
Te 3.785 0.390 7.203
Te 2.224 3.617 1.476
Cs 2.372 0.104 -0.176